A plane-wave DFT calculation with PBE was carried out for a relaxed structure of ZrGa3Pd.

a b c (Å): 4.2144 6.4808 6.6758
angles (deg): 90.00 90.00 90.00
Sites, in units of the cell vectors:
Zr: 0.2500 0.2500 0.1913
Zr: 0.7500 0.7500 0.8087
Ga: 0.2500 0.0384 0.7887
Ga: 0.2500 0.4616 0.7887
Ga: 0.2500 0.7500 0.4939
Ga: 0.7500 0.2500 0.5061
Ga: 0.7500 0.5384 0.2113
Ga: 0.7500 0.9616 0.2113
Pd: 0.2500 0.7500 0.1198
Pd: 0.7500 0.2500 0.8802

Values from the calculation:
VASP energy in eV/cell: -49.6
DOS(E_F) in states/eV/cell: 5.40
Magnetization in μB/cell: 0.00
Energy of formation from the pure elements in meV/atom: -399
Offset from the most stable computed form in eV/atom: 0.137